[1]
Here is a PBEsol-optimized structure of KMnSe2N from Alexandria via LeMat-Bulk. Energies are from meta-GGA SCAN.

Formation energy from raw total energies ... -0.310 eV/atom
Total moment ... 1.69 μB/cell

Structure (extended XYZ):
```
5
Lattice="5.203 0.000 0.000 0.000 5.203 0.000 0.000 0.000 3.459" Properties=species:S:1:pos:R:3 pbc="T T T"
K 0.000 0.000 0.000
Mn 2.602 2.602 1.730
Se 0.000 2.602 1.730
Se 2.602 0.000 1.730
N 2.602 2.602 0.000
```

[2]
Here is a PBEsol-optimized structure of LaHSe2 from Alexandria via LeMat-Bulk. Energies are from meta-GGA SCAN.

Calculated total energy ... -0.8273 hartree per atom
Total moment ... 0.00 μB/cell

Structure (extended XYZ):
```
8
Lattice="-3.371 3.371 3.467 3.371 -3.371 3.467 3.371 3.371 -3.467" Properties=species:S:1:pos:R:3 pbc="T T T"
La 0.000 0.000 0.000
La 0.000 3.371 1.734
H 3.371 0.000 1.734
H 0.000 0.000 3.467
Se 1.685 2.288 -0.867
Se 4.453 1.685 0.867
Se 1.685 1.082 2.601
Se -1.082 1.685 4.334
```

[3]
Here is a PBEsol-optimized structure of ZnSb2TeP from Alexandria via LeMat-Bulk. Energies are from meta-GGA SCAN.

Excess energy over the best structure of this formula in the dataset ... 177 meV per atom
Formation energy from raw total energies ... 0.922 eV/atom
Total moment ... 0.00 μB/cell

Structure (extended XYZ):
```
5
Lattice="5.083 0.000 0.000 0.000 5.083 0.000 0.000 0.000 5.075" Properties=species:S:1:pos:R:3 pbc="T T T"
Zn 0.000 0.000 0.000
Sb 0.000 2.541 0.000
Sb 2.541 0.000 0.000
Te 0.000 0.000 2.538
P 2.541 2.541 2.538
```

[4]
Here is a PBEsol-optimized structure of CsAsF3 from Alexandria via LeMat-Bulk. Energies are from meta-GGA SCAN.

Formation energy from raw total energies ... -1.964 eV/atom
Total moment ... 0.01 μB/cell

Structure (extended XYZ):
```
5
Lattice="4.470 0.000 0.000 0.000 4.470 0.000 0.000 0.000 4.470" Properties=species:S:1:pos:R:3 pbc="T T T"
Cs 0.000 0.000 0.000
As 2.235 2.235 2.235
F 0.000 2.235 2.235
F 2.235 0.000 2.235
F 2.235 2.235 0.000
```

[5]
Here is a PBEsol-optimized structure of PdPt3 from Alexandria via LeMat-Bulk. Energies are from meta-GGA SCAN.

Formation enthalpy at 0 K ... -0.001 eV/atom
Total moment ... 1.10 μB/cell

Structure (extended XYZ):
```
4
Lattice="-1.953 1.953 3.880 1.953 -1.953 3.880 1.953 1.953 -3.880" Properties=species:S:1:pos:R:3 pbc="T T T"
Pd 0.000 0.000 0.000
Pt 1.953 0.000 1.940
Pt 0.000 0.000 3.880
Pt 0.000 1.953 1.940
```

[6]
Here is a PBEsol-optimized structure of GeRhS2Cl from Alexandria via LeMat-Bulk. Energies are from meta-GGA SCAN.

Formation energy from raw total energies ... 0.638 eV/atom
Total moment ... 2.50 μB/cell

Structure (extended XYZ):
```
5
Lattice="4.615 0.000 0.000 0.000 4.615 0.000 0.000 0.000 4.651" Properties=species:S:1:pos:R:3 pbc="T T T"
Ge 0.000 0.000 0.000
Rh 2.308 2.308 2.325
S 0.000 2.308 0.000
S 2.308 0.000 0.000
Cl 0.000 0.000 2.325
```

[7]
Here is a PBEsol-optimized structure of Ba3Nb2CdO9 from Alexandria via LeMat-Bulk. Energies are from meta-GGA SCAN.

Formation energy from raw total energies ... -2.875 eV/atom
Total moment ... 0.00 μB/cell

Structure (extended XYZ):
```
15
Lattice="5.895 0.000 0.000 -2.948 5.105 0.000 0.000 0.000 7.277" Properties=species:S:1:pos:R:3 pbc="T T T"
Ba 0.000 0.000 0.000
Ba 0.000 3.404 4.853
Ba 2.948 1.702 2.425
Nb 0.000 3.404 1.234
Nb 2.948 1.702 6.043
Cd 0.000 0.000 3.639
O -1.474 2.553 0.000
O 0.000 1.791 2.295
O -1.397 4.210 2.295
O 1.551 0.895 4.982
O 2.948 0.000 0.000
O 1.474 2.553 0.000
O 1.397 4.210 2.295
O 4.344 0.895 4.982
O 2.948 3.315 4.982
```

[8]
Here is a PBEsol-optimized structure of Hg2RhAu from Alexandria via LeMat-Bulk. Energies are from meta-GGA SCAN.

Formation enthalpy at 0 K ... 0.192 eV/atom
Total moment ... 0.00 μB/cell

Structure (extended XYZ):
```
4
Lattice="-2.051 2.051 4.150 2.051 -2.051 4.150 2.051 2.051 -4.150" Properties=species:S:1:pos:R:3 pbc="T T T"
Hg 0.000 0.000 0.000
Hg 0.000 2.051 2.075
Rh 0.000 0.000 4.150
Au 2.051 0.000 2.075
```

[9]
Here is a PBEsol-optimized structure of BaCaV2O7 from Alexandria via LeMat-Bulk. Energies are from meta-GGA SCAN.

Formation energy from raw total energies ... -3.038 eV/atom
Total moment ... 0.00 μB/cell

Structure (extended XYZ):
```
44
Lattice="15.435 0.000 0.000 0.000 5.753 0.000 0.000 0.000 7.397" Properties=species:S:1:pos:R:3 pbc="T T T"
Ba 3.284 1.438 1.008
Ba 4.433 4.315 4.707
Ba 11.002 1.438 2.691
Ba 12.151 4.315 6.389
Ca 0.832 4.315 6.560
Ca 6.886 1.438 2.861
Ca 8.549 4.315 4.536
Ca 14.603 1.438 0.837
V 0.911 4.315 2.253
V 2.218 1.438 4.890
V 5.500 4.315 1.192
V 6.807 1.438 5.952
V 8.628 4.315 1.445
V 9.935 1.438 6.206
V 13.217 4.315 2.507
V 14.524 1.438 5.144
O 0.568 1.438 4.129
O 0.910 2.981 1.170
O 0.910 5.649 1.170
O 2.294 4.315 3.150
O 2.393 0.086 5.899
O 2.393 2.791 5.899
O 3.462 1.438 3.785
O 4.256 4.315 0.086
O 5.325 2.962 2.200
O 5.325 5.668 2.200
O 5.424 1.438 6.849
O 6.807 0.104 4.869
O 6.807 2.773 4.869
O 7.150 4.315 0.430
O 8.285 1.438 6.967
O 8.627 2.981 2.529
O 8.627 5.649 2.529
O 10.011 4.315 0.549
O 10.110 0.086 5.197
O 10.110 2.791 5.197
O 11.179 1.438 7.311
O 11.973 4.315 3.613
O 13.042 2.962 1.498
O 13.042 5.668 1.498
O 13.141 1.438 4.248
O 14.525 0.104 6.228
O 14.525 2.773 6.228
O 14.867 4.315 3.268
```

[10]
Here is a PBEsol-optimized structure of KAsSe2Br from Alexandria via LeMat-Bulk. Energies are from meta-GGA SCAN.

Formation energy from raw total energies ... 1.001 eV/atom
Total moment ... 6.72 μB/cell

Structure (extended XYZ):
```
5
Lattice="5.995 0.000 0.000 0.000 5.995 0.000 0.000 0.000 6.275" Properties=species:S:1:pos:R:3 pbc="T T T"
K 0.000 0.000 0.000
As 0.000 0.000 3.137
Se 0.000 2.998 0.000
Se 2.998 0.000 0.000
Br 2.998 2.998 3.137
```

[11]
Here is a PBEsol-optimized structure of Y5Pt from Alexandria via LeMat-Bulk. Energies are from meta-GGA SCAN.

Excess energy over the best structure of this formula in the dataset ... 0 meV per atom
Formation enthalpy at 0 K ... -0.481 eV/atom
Total moment ... 0.00 μB/cell

Structure (extended XYZ):
```
6
Lattice="5.956 -1.811 0.000 5.956 1.811 0.000 -2.982 0.000 7.609" Properties=species:S:1:pos:R:3 pbc="T T T"
Y 0.000 0.000 0.000
Y 3.353 0.000 1.556
Y 2.480 0.000 4.791
Y 6.449 0.000 2.818
Y 5.576 0.000 6.053
Pt -1.491 0.000 3.804
```

[12]
Here is a PBEsol-optimized structure of Cr2RePb from Alexandria via LeMat-Bulk. Energies are from meta-GGA SCAN.

Formation enthalpy at 0 K ... 0.486 eV/atom
Total moment ... 2.43 μB/cell

Structure (extended XYZ):
```
4
Lattice="2.956 0.000 0.000 0.000 2.956 0.000 0.000 0.000 7.336" Properties=species:S:1:pos:R:3 pbc="T T T"
Cr 0.000 0.000 0.000
Cr 1.478 1.478 1.459
Re 0.000 0.000 2.843
Pb 1.478 1.478 5.098
```